DFT (PBE+U) results for a relaxed structure of Cs2HfVO6.

Cell lengths 5.4001, 6.6773, 6.6773 Å; angles 120.00, 90.00, 90.00 degrees
With the nearest neighbours (Å) after each atom.
Positions (direct):
1 Cs 0.1702 0.3333 0.6667  9 O 3.19-3.38
2 Cs 0.8298 0.6667 0.3333  9 O 3.19-3.38
3 Hf 0.5000 0.0000 0.0000  6 O 2.10
4 V 0.0000 0.0000 0.0000  6 O 1.91
5 O 0.7750 0.1279 0.2558  1 V 1.91, 1 Hf 2.10
6 O 0.7750 0.1279 0.8721  1 V 1.91, 1 Hf 2.10
7 O 0.7750 0.7442 0.8721  1 V 1.91, 1 Hf 2.10
8 O 0.2250 0.8721 0.1279  1 V 1.91, 1 Hf 2.10
9 O 0.2250 0.2558 0.1279  1 V 1.91, 1 Hf 2.10
10 O 0.2250 0.8721 0.7442  1 V 1.91, 1 Hf 2.10

Properties
space-group type = P-3m1 (164)
final energy = -6.9314 eV/atom